DFT (PBE) results for an optimized crystal structure of Nd2HfIn.

Calculated values
ΔE to the lowest computed polymorph	0.0098	eV/atom
SG	No. 123
DFT formation energy	-0.08	eV per atom
D(E_F)	3.66	states/eV/f.u.

Cell lengths 3.4104, 3.4104, 9.7950 Å; angles 90.00, 90.00, 90.00 degrees
Fractional coordinates of all 4 atoms:
Nd (0.0000, 0.0000, 0.2501)
Nd (0.0000, 0.0000, 0.7499)
Hf (0.5000, 0.5000, 0.0000)
In (0.5000, 0.5000, 0.5000)


DFT (PBE) results for an optimized crystal structure of SrSn2Au9.

Calculated values
SG	No. 12
DFT formation energy	-0.23	eV per atom
D(E_F)	5.39	states/eV/f.u.

Cell lengths 5.7149, 5.7149, 9.8177 Å; angles 107.33, 107.33, 60.13 degrees
Fractional coordinates of all 12 atoms:
Sr (0.0000, 0.0000, 0.0000)
Sn (0.1565, 0.1565, 0.4623)
Sn (0.8435, 0.8435, 0.5377)
Au (0.0827, 0.5857, 0.2515)
Au (0.3344, 0.3344, 0.9996)
Au (0.4138, 0.4138, 0.7467)
Au (0.4143, 0.9173, 0.7485)
Au (0.5000, 0.5000, 0.5000)
Au (0.5857, 0.0827, 0.2515)
Au (0.5862, 0.5862, 0.2533)
Au (0.6656, 0.6656, 0.0004)
Au (0.9173, 0.4143, 0.7485)


DFT (PBE) results for an optimized crystal structure of Ac3PuPd8.

Calculated values
SG	No. 160
DFT formation energy	-0.70	eV per atom
D(E_F)	19.93	states/eV/f.u.

Cell lengths 9.7560, 9.7560, 9.7560 Å; angles 33.55, 33.55, 33.55 degrees
Fractional coordinates of all 12 atoms:
Ac (0.0000, 0.0000, 0.0000)
Ac (0.1271, 0.1271, 0.1271)
Ac (0.6172, 0.6172, 0.6172)
Pu (0.4946, 0.4946, 0.4946)
Pd (0.0589, 0.0589, 0.5615)
Pd (0.0589, 0.5615, 0.0589)
Pd (0.0617, 0.5607, 0.5607)
Pd (0.3104, 0.3104, 0.3104)
Pd (0.5615, 0.0589, 0.0589)
Pd (0.5607, 0.0617, 0.5607)
Pd (0.5607, 0.5607, 0.0617)
Pd (0.8108, 0.8108, 0.8108)


DFT (PBE) results for an optimized crystal structure of Cs2KHgTe.

Calculated values
SG	No. 123
formation energy from raw total energies	-0.5379	eV/atom
D(E_F)	4.04	states/eV/f.u.

Cell lengths 7.4380, 7.4380, 6.6600 Å; angles 90.00, 90.00, 90.00 degrees
Fractional coordinates of all 5 atoms:
Cs (0.0000, 0.5000, 0.0000)
Cs (0.5000, 0.0000, 0.0000)
K (0.0000, 0.0000, 0.5000)
Hg (0.5000, 0.5000, 0.5000)
Te (0.0000, 0.0000, 0.0000)